Record 1
# Dy2Nb2S7O30

An optimized crystal structure of Dy2Nb2S7O30 (PBE-GGA, Alexandria via LeMat-Bulk).

Calculated values
- Uncorrected formation energy: -1.756 eV/atom
- DOS(E_F): 0.27 states/eV/atom
- Total moment: 2.22 μB/f.u.

a = 7.1014 Å, b = 12.8721 Å, c = 12.8721 Å
α = 90.00°, β = 90.00°, γ = 90.00°
Last column: nearest neighbours and their distance in Å.
Fractional coordinates of all 82 atoms:
O 0.8628 0.8576 0.5083  1 S 1.51
O 0.2757 0.9255 0.0662  1 S 1.46
O 0.7906 0.2035 0.7035  1 Nb 1.78
O 0.4583 0.0672 0.4328  1 S 1.47
O 0.7795 0.4337 0.0663  1 S 1.49
O 0.2205 0.9337 0.4337  1 S 1.49
O 0.7243 0.5745 0.5662  1 S 1.46
O 0.4582 0.1340 0.7884  1 S 1.47
O 0.0752 0.1556 0.3444  1 S 1.45
O 0.6663 0.4584 0.7134  1 S 1.47
O 0.9248 0.6556 0.1556  1 S 1.45
O 0.3337 0.7134 0.5416  1 S 1.47
O 0.5417 0.4328 0.9328  1 S 1.47
O 0.8786 0.2305 0.1057  1 S 1.54
O 0.7243 0.9338 0.9255  1 S 1.46
O 0.1214 0.7305 0.3943  1 S 1.54
O 0.7795 0.5663 0.9337  1 S 1.49
O 0.7354 0.1767 0.3233  1 S 1.46
O 0.9248 0.3444 0.8444  1 S 1.45
O 0.1214 0.2695 0.6057  1 S 1.54
O 0.8628 0.0083 0.3576  1 S 1.51
O 0.2757 0.0745 0.9338  1 S 1.46
O 0.1214 0.8943 0.2305  1 S 1.54
O 0.1372 0.5083 0.1424  1 S 1.51
O 0.5418 0.2116 0.1340  1 S 1.47
O 0.8786 0.7695 0.8943  1 S 1.54
O 0.8628 0.9917 0.6424  1 S 1.51
O 0.8628 0.1424 0.4917  1 S 1.51
O 0.1372 0.3576 0.9917  1 S 1.51
O 0.3337 0.9584 0.7866  1 S 1.47
O 0.6663 0.2134 0.9584  1 S 1.47
O 0.4582 0.2884 0.6340  1 S 1.47
O 0.5417 0.5672 0.0672  1 S 1.47
O 0.0752 0.8444 0.6556  1 S 1.45
O 0.2094 0.2965 0.2035  1 Nb 1.78
O 0.6663 0.7866 0.0416  1 S 1.47
O 0.5418 0.7884 0.8660  1 S 1.47
O 0.2757 0.4338 0.5745  1 S 1.46
O 0.2094 0.7035 0.7965  1 Nb 1.78
O 0.3337 0.2866 0.4584  1 S 1.47
O 0.2757 0.5662 0.4255  1 S 1.46
O 0.6663 0.5416 0.2866  1 S 1.47
O 0.5418 0.6340 0.7116  1 S 1.47
O 0.1372 0.6424 0.0083  1 S 1.51
O 0.4582 0.7116 0.3660  1 S 1.47
O 0.3337 0.0416 0.2134  1 S 1.47
O 0.7243 0.0662 0.0745  1 S 1.46
O 0.8786 0.6057 0.7305  1 S 1.54
O 0.5418 0.3660 0.2884  1 S 1.47
O 0.7354 0.8233 0.6767  1 S 1.46
O 0.2646 0.3233 0.8233  1 S 1.46
O 0.4583 0.9328 0.5672  1 S 1.47
O 0.4582 0.8660 0.2116  1 S 1.47
O 0.2646 0.6767 0.1767  1 S 1.46
O 0.1372 0.4917 0.8576  1 S 1.51
O 0.2205 0.0663 0.5663  1 S 1.49
O 0.1214 0.1057 0.7695  1 S 1.54
O 0.8786 0.3943 0.2695  1 S 1.54
O 0.7243 0.4255 0.4338  1 S 1.46
O 0.7906 0.7965 0.2965  1 Nb 1.78
S 0.6572 0.5000 0.0000  4 O 1.47-1.49
S 0.3030 0.6783 0.4344  4 O 1.46-1.54
S 0.3030 0.0656 0.8217  4 O 1.46-1.54
S 0.3428 0.0000 0.5000  4 O 1.47-1.49
S 0.3030 0.3217 0.5656  4 O 1.46-1.54
S 0.8884 0.1232 0.3768  4 O 1.45-1.51
S 0.6970 0.1783 0.0656  4 O 1.46-1.54
S 0.6970 0.4344 0.3217  4 O 1.46-1.54
S 0.3030 0.9344 0.1783  4 O 1.46-1.54
S 0.1116 0.6232 0.1232  4 O 1.45-1.51
S 0.6970 0.8217 0.9344  4 O 1.46-1.54
S 0.1116 0.3768 0.8768  4 O 1.45-1.51
S 0.6970 0.5656 0.6783  4 O 1.46-1.54
S 0.8884 0.8768 0.6232  4 O 1.45-1.51
Dy 0.5952 0.3036 0.8036  8 O 2.29-2.46
Dy 0.4048 0.1964 0.3036  8 O 2.29-2.46
Dy 0.5952 0.6964 0.1964  8 O 2.29-2.46
Dy 0.4048 0.8036 0.6964  8 O 2.29-2.46
Nb 0.0220 0.3613 0.1387  1 O 1.78
Nb 0.9780 0.8613 0.3613  1 O 1.78
Nb 0.0220 0.6387 0.8613  1 O 1.78
Nb 0.9780 0.1387 0.6387  1 O 1.78

***

Record 2
# DySc2NbO8

An optimized crystal structure of DySc2NbO8 (PBE-GGA, Alexandria via LeMat-Bulk).

Calculated values
- Uncorrected formation energy: -2.785 eV/atom
- DOS(E_F): 0.64 states/eV/atom
- Total moment: 2.01 μB/f.u.

a = 4.9013 Å, b = 4.9017 Å, c = 6.6408 Å
α = 90.00°, β = 90.00°, γ = 89.77°
Last column: nearest neighbours and their distance in Å.
Fractional coordinates of all 12 atoms:
Nb 0.0000 0.0000 0.0000  6 O 2.00-2.04
O 0.1961 0.8034 0.7779  1 Nb 2.00, 1 Sc 2.11
O 0.8039 0.1966 0.2221  1 Nb 2.00, 1 Sc 2.11
O 0.2941 0.2936 0.0000  1 Nb 2.04, 2 Sc 2.19
O 0.1961 0.8035 0.2221  1 Nb 2.00, 1 Sc 2.11
O 0.7059 0.7064 0.0000  1 Nb 2.04, 2 Sc 2.19
O 0.6806 0.6812 0.5000  2 Sc 2.09, 1 Dy 2.22
O 0.3194 0.3188 0.5000  2 Sc 2.09, 1 Dy 2.22
O 0.8039 0.1965 0.7779  1 Nb 2.00, 1 Sc 2.11
Sc 0.5000 0.5000 0.2487  6 O 2.09-2.19
Sc 0.5000 0.5000 0.7513  6 O 2.09-2.19
Dy 0.0000 0.0000 0.5000  6 O 2.22-2.29

***

Record 3
# Dy2NbOs

An optimized crystal structure of Dy2NbOs (PBE-GGA, Alexandria via LeMat-Bulk).

Calculated values
- DOS(E_F): 1.10 states/eV/atom
- Formation energy: 0.590 eV/atom
- Total moment: 0.82 μB/f.u.

a = 3.1867 Å, b = 3.1867 Å, c = 10.4812 Å
α = 81.26°, β = 81.26°, γ = 60.00°
Last column: nearest neighbours and their distance in Å.
Fractional coordinates of all 4 atoms:
Dy 0.0972 0.0972 0.7084  3 Os 2.83, 1 Nb 3.01
Dy 0.9028 0.9028 0.2916  3 Os 2.83, 1 Nb 3.01
Nb 0.0000 0.0000 0.0000  2 Dy 3.01, 6 Nb 3.19
Os 0.5000 0.5000 0.5000  6 Dy 2.83

***

Record 4
# DyNbOs

An optimized crystal structure of DyNbOs (PBE-GGA, Alexandria via LeMat-Bulk).

Calculated values
- DOS(E_F): 1.01 states/eV/atom
- Formation energy: -0.190 eV/atom
- Total moment: 0.00 μB/f.u.

a = 4.4979 Å, b = 4.4980 Å, c = 6.5742 Å
α = 90.00°, β = 90.02°, γ = 90.00°
Last column: nearest neighbours and their distance in Å.
Fractional coordinates of all 6 atoms:
Dy 0.2500 0.7500 0.1423  1 Os 2.91, 4 Nb 3.25
Dy 0.7500 0.2500 0.8577  1 Os 2.91, 4 Nb 3.25
Os 0.2502 0.7500 0.6991  4 Nb 2.60, 1 Dy 2.91
Os 0.7498 0.2500 0.3009  4 Nb 2.60, 1 Dy 2.91
Nb 0.2500 0.2500 0.5000  4 Os 2.60
Nb 0.7500 0.7500 0.5000  4 Os 2.60

***

Record 5
# DyNbSi2Os

An optimized crystal structure of DyNbSi2Os (PBE-GGA, Alexandria via LeMat-Bulk).

Calculated values
- Uncorrected formation energy: -0.618 eV/atom
- DOS(E_F): 0.62 states/eV/atom
- Total moment: 0.00 μB/f.u.

a = 4.0290 Å, b = 4.0290 Å, c = 6.1668 Å
α = 109.07°, β = 109.07°, γ = 90.00°
Last column: nearest neighbours and their distance in Å.
Fractional coordinates of all 5 atoms:
Si 0.3910 0.3910 0.7819  1 Si 2.39, 2 Nb 2.54, 2 Os 2.54
Si 0.6090 0.6090 0.2181  1 Si 2.39, 2 Os 2.54, 2 Nb 2.54
Nb 0.2500 0.7500 0.5000  4 Si 2.54
Os 0.7500 0.2500 0.5000  4 Si 2.54
Dy 0.0000 0.0000 0.0000  8 Si 3.09, 4 Nb 3.40, 4 Os 3.40

***

Record 6
# DyTaNbOs2

An optimized crystal structure of DyTaNbOs2 (PBE-GGA, Alexandria via LeMat-Bulk).

Calculated values
- DOS(E_F): 0.53 states/eV/atom
- Formation energy: -0.281 eV/atom
- Total moment: 0.00 μB/f.u.

a = 4.3851 Å, b = 4.3851 Å, c = 6.1866 Å
α = 110.76°, β = 110.76°, γ = 90.00°
Last column: nearest neighbours and their distance in Å.
Fractional coordinates of all 5 atoms:
Dy 0.0000 0.0000 0.0000  8 Os 3.35, 4 Ta 3.46, 4 Nb 3.46
Os 0.6180 0.6180 0.2361  1 Os 2.53, 2 Nb 2.61, 2 Ta 2.61
Os 0.3820 0.3820 0.7639  1 Os 2.53, 2 Ta 2.61, 2 Nb 2.61
Ta 0.2500 0.7500 0.5000  4 Os 2.61
Nb 0.7500 0.2500 0.5000  4 Os 2.61

***

Record 7
# DyNbTcOs

An optimized crystal structure of DyNbTcOs (PBE-GGA, Alexandria via LeMat-Bulk).

Calculated values
- DOS(E_F): 0.77 states/eV/atom
- Formation energy: -0.122 eV/atom
- Total moment: 0.00 μB/f.u.

a = 4.6462 Å, b = 4.6462 Å, c = 4.6462 Å
α = 60.00°, β = 60.00°, γ = 60.00°
Last column: nearest neighbours and their distance in Å.
Fractional coordinates of all 4 atoms:
Dy 0.5000 0.5000 0.5000  4 Tc 2.85, 4 Os 2.85
Nb 0.0000 0.0000 0.0000  4 Os 2.85, 4 Tc 2.85
Os 0.7500 0.7500 0.7500  4 Nb 2.85, 4 Dy 2.85
Tc 0.2500 0.2500 0.2500  4 Nb 2.85, 4 Dy 2.85

***

Record 8
# Dy3NbP2Rh9

An optimized crystal structure of Dy3NbP2Rh9 (PBE-GGA, Alexandria via LeMat-Bulk).

Calculated values
- DOS(E_F): 0.43 states/eV/atom
- Formation energy: -0.577 eV/atom
- Total moment: 0.00 μB/f.u.

a = 5.9157 Å, b = 5.9157 Å, c = 9.2147 Å
α = 90.00°, β = 90.00°, γ = 120.00°
Last column: nearest neighbours and their distance in Å.
Fractional coordinates of all 15 atoms:
Rh 0.8403 0.6805 0.7048  1 P 2.20
Rh 0.5000 0.0000 0.0000  2 P 2.23
Rh 0.6805 0.8403 0.2952  1 P 2.20
Rh 0.8403 0.1597 0.7048  1 P 2.20
Rh 0.1597 0.8403 0.2952  1 P 2.20
Rh 0.1597 0.3195 0.2952  1 P 2.20
Rh 0.0000 0.5000 0.0000  2 P 2.23
Rh 0.5000 0.5000 0.0000  2 P 2.23
Rh 0.3195 0.1597 0.7048  1 P 2.20
Dy 0.0000 0.0000 0.0000  12 Rh 2.96-3.17
Dy 0.3333 0.6667 0.6219  6 Rh 3.06
Dy 0.6667 0.3333 0.3781  6 Rh 3.06
Nb 0.0000 0.0000 0.5000  6 Rh 2.50
P 0.6667 0.3333 0.8449  6 Rh 2.20-2.23
P 0.3333 0.6667 0.1551  6 Rh 2.20-2.23

***

Record 9
# DyNbP2Rh5

An optimized crystal structure of DyNbP2Rh5 (PBE-GGA, Alexandria via LeMat-Bulk).

Calculated values
- DOS(E_F): 0.52 states/eV/atom
- Formation energy: -0.405 eV/atom
- Total moment: 0.00 μB/f.u.

a = 4.0013 Å, b = 4.0013 Å, c = 10.3271 Å
α = 90.00°, β = 90.00°, γ = 90.00°
Last column: nearest neighbours and their distance in Å.
Fractional coordinates of all 9 atoms:
P 0.0000 0.0000 0.7163  5 Rh 2.23-2.31
P 0.0000 0.0000 0.2837  5 Rh 2.23-2.31
Rh 0.0000 0.5000 0.8272  2 P 2.31
Rh 0.0000 0.0000 0.5000  2 P 2.23
Rh 0.5000 0.0000 0.1728  2 P 2.31
Rh 0.0000 0.5000 0.1728  2 P 2.31
Rh 0.5000 0.0000 0.8272  2 P 2.31
Dy 0.5000 0.5000 0.5000  4 Rh 2.83
Nb 0.0000 0.0000 0.0000  8 Rh 2.68, 2 P 2.93

***

Record 10
# DyPa2Nb

An optimized crystal structure of DyPa2Nb (PBE-GGA, Alexandria via LeMat-Bulk).

Calculated values
- DOS(E_F): 1.95 states/eV/atom
- Formation energy: 0.262 eV/atom
- Total moment: 0.00 μB/f.u.

a = 3.4613 Å, b = 3.4613 Å, c = 8.4200 Å
α = 90.00°, β = 90.00°, γ = 90.00°
Last column: nearest neighbours and their distance in Å.
Fractional coordinates of all 4 atoms:
Dy 0.5000 0.5000 0.5000  8 Pa 3.43, 4 Dy 3.46
Pa 0.0000 0.0000 0.7859  4 Nb 3.04
Pa 0.0000 0.0000 0.2141  4 Nb 3.04
Nb 0.5000 0.5000 0.0000  8 Pa 3.04